This record from Alexandria via LeMat-Bulk describes crystalline TmTaCoRu at its relaxed geometry. The functional is PBE-GGA.

POSCAR file:
```
TmTaCoRu
1.0
0.000 3.215 3.215
3.215 0.000 3.215
3.215 3.215 0.000
Tm Ta Co Ru
1 1 1 1
direct
0.000 0.000 0.000
0.500 0.500 0.500
0.750 0.750 0.750
0.250 0.250 0.250
```

Calculated values
DOS(E_F): 0.612 states/eV/atom
calculated total energy: -8.42 eV per atom
SG: F-43m